1.
A relaxed structure of YN2ClF. Source: Alexandria, functional PBE.

Calculated values
**Formation energy (no corrections)**: -41 meV per atom
**Magnetization**: 4.8 μB per formula unit
**Calculated density**: 2.90 g/cm³

Cell and atoms, written as CIF:
```
data_YN2ClF
_chemical_formula_sum 'Y1 N2 Cl1 F1'
_space_group_name_H-M_alt 'P 4/m m m'
_space_group_IT_number 123
_space_group_name_Hall '-P 4 2'
_cell_length_a 4.777
_cell_length_b 4.777
_cell_length_c 4.298
_cell_angle_alpha 90.00
_cell_angle_beta 90.00
_cell_angle_gamma 90.00
loop_
_atom_site_label
_atom_site_type_symbol
_atom_site_fract_x
_atom_site_fract_y
_atom_site_fract_z
_atom_site_occupancy
Y1 Y 0.000 0.000 0.000 1
N1 N 0.000 0.500 0.000 1
Cl1 Cl 0.500 0.500 0.500 1
F1 F 0.000 0.000 0.500 1
```


2.
A relaxed structure of YN2ClF. Source: Alexandria, functional PBE.

Calculated values
**Formation energy (no corrections)**: 390 meV per atom
**Magnetization**: 0.0 μB per formula unit
**Calculated density**: 4.40 g/cm³

Cell and atoms, written as CIF:
```
data_YN2ClF
_chemical_formula_sum 'Y1 N2 Cl1 F1'
_space_group_name_H-M_alt 'P 4/m m m'
_space_group_IT_number 123
_space_group_name_Hall '-P 4 2'
_cell_length_a 3.949
_cell_length_b 3.949
_cell_length_c 4.146
_cell_angle_alpha 90.00
_cell_angle_beta 90.00
_cell_angle_gamma 90.00
loop_
_atom_site_label
_atom_site_type_symbol
_atom_site_fract_x
_atom_site_fract_y
_atom_site_fract_z
_atom_site_occupancy
Y1 Y 0.000 0.000 0.000 1
N1 N 0.000 0.500 0.500 1
Cl1 Cl 0.500 0.500 0.500 1
F1 F 0.500 0.500 0.000 1
```


3.
A relaxed structure of NaCl2F2. Source: Alexandria, functional PBE.

Calculated values
**Formation energy (no corrections)**: -825 meV per atom
**Magnetization**: 1.0 μB per formula unit
**Calculated density**: 2.41 g/cm³

Cell and atoms, written as CIF:
```
data_NaCl2F2
_chemical_formula_sum 'Na2 Cl4 F4'
_space_group_name_H-M_alt 'P 4/m b m'
_space_group_IT_number 127
_space_group_name_Hall '-P 4 2ab'
_cell_length_a 7.210
_cell_length_b 7.210
_cell_length_c 3.504
_cell_angle_alpha 90.00
_cell_angle_beta 90.00
_cell_angle_gamma 90.00
loop_
_atom_site_label
_atom_site_type_symbol
_atom_site_fract_x
_atom_site_fract_y
_atom_site_fract_z
_atom_site_occupancy
Na1 Na 0.000 0.000 0.000 1
Cl1 Cl 0.097 0.403 0.000 1
F1 F 0.231 0.731 0.500 1
```


4.
A relaxed structure of Na4Cl2F. Source: Alexandria, functional PBE.

Calculated values
**Formation energy (no corrections)**: -1642 meV per atom
**Magnetization**: 0.0 μB per formula unit
**Calculated density**: 1.75 g/cm³

Cell and atoms, written as CIF:
```
data_Na4Cl2F
_chemical_formula_sum 'Na8 Cl4 F2'
_space_group_name_H-M_alt 'I 4/m m m'
_space_group_IT_number 139
_space_group_name_Hall '-I 4 2'
_cell_length_a 4.363
_cell_length_b 4.363
_cell_length_c 18.160
_cell_angle_alpha 90.00
_cell_angle_beta 90.00
_cell_angle_gamma 90.00
loop_
_atom_site_label
_atom_site_type_symbol
_atom_site_fract_x
_atom_site_fract_y
_atom_site_fract_z
_atom_site_occupancy
Na1 Na 0.000 0.000 0.170 1
Na2 Na 0.000 0.500 0.000 1
Cl1 Cl 0.000 0.000 0.396 1
F1 F 0.000 0.000 0.000 1
```


5.
A relaxed structure of Na3Cl2F. Source: Alexandria, functional PBE.

Calculated values
**Formation energy (no corrections)**: -2052 meV per atom
**Magnetization**: 0.0 μB per formula unit
**Calculated density**: 2.23 g/cm³

Cell and atoms, written as CIF:
```
data_Na3Cl2F
_chemical_formula_sum 'Na6 Cl4 F2'
_space_group_name_H-M_alt 'I m m m'
_space_group_IT_number 71
_space_group_name_Hall '-I 2 2'
_cell_length_a 3.744
_cell_length_b 5.491
_cell_length_c 11.497
_cell_angle_alpha 90.00
_cell_angle_beta 90.00
_cell_angle_gamma 90.00
loop_
_atom_site_label
_atom_site_type_symbol
_atom_site_fract_x
_atom_site_fract_y
_atom_site_fract_z
_atom_site_occupancy
Na1 Na 0.000 0.000 0.000 1
Na2 Na 0.000 0.000 0.359 1
Cl1 Cl 0.000 0.500 0.331 1
F1 F 0.000 0.500 0.000 1
```


6.
A relaxed structure of NaCl2F. Source: Alexandria, functional PBE.

Calculated values
**Formation energy (no corrections)**: -596 meV per atom
**Magnetization**: 0.0 μB per formula unit
**Calculated density**: 2.06 g/cm³

Cell and atoms, written as CIF:
```
data_NaCl2F
_chemical_formula_sum 'Na3 Cl6 F3'
_space_group_name_H-M_alt 'R -3 m'
_space_group_IT_number 166
_space_group_name_Hall '-R 3 2"'
_cell_length_a 4.7776
_cell_length_b 4.7776
_cell_length_c 13.8249
_cell_angle_alpha 90.00
_cell_angle_beta 90.00
_cell_angle_gamma 120.00
loop_
_atom_site_label
_atom_site_type_symbol
_atom_site_fract_x
_atom_site_fract_y
_atom_site_fract_z
_atom_site_occupancy
Na1 Na 0.0000 0.0000 0.0000 1
Cl1 Cl 0.0000 0.0000 0.1852 1
F1 F 0.0000 0.0000 0.5000 1
```


7.
A relaxed structure of Na2Cl3F6. Source: Alexandria, functional PBE.

Calculated values
**Formation energy (no corrections)**: -1332 meV per atom
**Magnetization**: 1.1 μB per formula unit
**Calculated density**: 2.11 g/cm³

Cell and atoms, written as CIF:
```
data_Na2Cl3F6
_chemical_formula_sum 'Na8 Cl12 F24'
_space_group_name_H-M_alt 'C 1 2/c 1'
_space_group_IT_number 15
_cell_length_a 10.769
_cell_length_b 6.314
_cell_length_c 12.827
_cell_angle_alpha 90.00
_cell_angle_beta 106.33
_cell_angle_gamma 90.00
loop_
_space_group_symop_operation_xyz
'x,y,z'
'-x,-y,-z'
'-x,y,-z+1/2'
'x,-y,z+1/2'
'x+1/2,y+1/2,z'
'-x+1/2,-y+1/2,-z'
'-x+1/2,y+1/2,-z+1/2'
'x+1/2,-y+1/2,z+1/2'
loop_
_atom_site_label
_atom_site_type_symbol
_atom_site_fract_x
_atom_site_fract_y
_atom_site_fract_z
_atom_site_occupancy
Na1 Na 0.083 0.250 0.000 1
Cl1 Cl 0.000 0.066 0.250 1
Cl2 Cl 0.159 0.410 0.750 1
F1 F 0.029 0.063 0.399 1
F2 F 0.098 0.440 0.601 1
F3 F 0.217 0.377 0.899 1
```


8.
A relaxed structure of NaCl3F. Source: Alexandria, functional PBE.

Calculated values
**Formation energy (no corrections)**: -34 meV per atom
**Magnetization**: 1.5 μB per formula unit
**Calculated density**: 1.61 g/cm³

Cell and atoms, written as CIF:
```
data_NaCl3F
_chemical_formula_sum 'Na1 Cl3 F1'
_space_group_name_H-M_alt 'P m -3 m'
_space_group_IT_number 221
_space_group_name_Hall '-P 4 2 3'
_cell_length_a 5.343
_cell_length_b 5.343
_cell_length_c 5.343
_cell_angle_alpha 90.00
_cell_angle_beta 90.00
_cell_angle_gamma 90.00
loop_
_atom_site_label
_atom_site_type_symbol
_atom_site_fract_x
_atom_site_fract_y
_atom_site_fract_z
_atom_site_occupancy
Na1 Na 0.000 0.000 0.000 1
Cl1 Cl 0.000 0.000 0.500 1
F1 F 0.500 0.500 0.500 1
```